AgRh4Se8 (PBE, relaxed); space-group type = No. 216; magnetic moment = 0.00 μB per cell; E_form (uncorrected) = -0.34 eV per atom
1.0
0.0000 5.2635 5.2635
5.2635 0.0000 5.2635
5.2635 5.2635 0.0000
Ag Rh Se
1 4 8
direct
0.0000 0.0000 0.0000
0.3787 0.3787 0.3787
0.3787 0.3787 0.8639
0.3787 0.8639 0.3787
0.8639 0.3787 0.3787
0.1403 0.1403 0.1403
0.1403 0.1403 0.5791
0.1403 0.5791 0.1403
0.1549 0.6150 0.6150
0.5791 0.1403 0.1403
0.6150 0.1549 0.6150
0.6150 0.6150 0.1549
0.6150 0.6150 0.6150

***

Tl3Cl2O (PBE, relaxed); space-group type = No. 15; magnetic moment = 0.00 μB per cell; E_form (uncorrected) = -0.69 eV per atom
1.0
6.9237 -3.1222 0.0000
6.9237 3.1222 0.0000
-2.2269 0.0000 7.5178
Tl Cl O
6 4 2
direct
0.0376 0.9624 0.7500
0.3721 0.3729 0.4358
0.3729 0.3721 0.9358
0.6271 0.6279 0.0642
0.6279 0.6271 0.5642
0.9624 0.0376 0.2500
0.1823 0.1867 0.0923
0.1867 0.1823 0.5923
0.8133 0.8177 0.4077
0.8177 0.8133 0.9077
0.4527 0.5473 0.7500
0.5473 0.4527 0.2500

***

SbP2Cl (PBE, relaxed); space-group type = No. 123; magnetic moment = 0.00 μB per cell; E above lowest polymorph = 608 meV/atom; E_form (uncorrected) = 0.57 eV per atom
1.0
3.8291 0.0000 0.0000
0.0000 3.8291 0.0000
0.0000 0.0000 5.4564
Sb P Cl
1 2 1
direct
0.0000 0.0000 0.0000
0.0000 0.5000 0.5000
0.5000 0.0000 0.5000
0.5000 0.5000 0.0000

***

CuTeSe2 (PBE, relaxed); space-group type = No. 65; magnetic moment = 0.00 μB per cell; E_form (uncorrected) = 0.05 eV per atom
1.0
2.6736 -4.0309 0.0000
2.6736 4.0309 0.0000
0.0000 0.0000 3.9501
Cu Te Se
1 1 2
direct
0.0000 0.0000 0.0000
0.5000 0.5000 0.0000
0.2210 0.7790 0.5000
0.7790 0.2210 0.5000

***

Cd2In6Ga (PBE, relaxed); energy of formation = 0.45 eV per formula unit; space-group type = No. 12; magnetic moment = 0.00 μB per cell; E above lowest polymorph = 0 meV/atom
1.0
7.9068 -1.6104 0.0000
7.9068 1.6104 0.0000
-5.9327 0.0000 9.1773
Cd In Ga
2 6 1
direct
0.1345 0.1345 0.2730
0.8655 0.8655 0.7270
0.1521 0.1521 0.5652
0.2911 0.2911 0.9169
0.4486 0.4486 0.2727
0.5514 0.5514 0.7273
0.7089 0.7089 0.0831
0.8479 0.8479 0.4348
0.5000 0.5000 0.0000

***

Cr2WCl (PBE, relaxed); space-group type = No. 99; magnetic moment = 1.38 μB per cell; E above lowest polymorph = 233 meV/atom; E_form (uncorrected) = 0.47 eV per atom
1.0
2.9033 0.0000 0.0000
0.0000 2.9033 0.0000
0.0000 0.0000 7.0718
Cr W Cl
2 1 1
direct
0.0000 0.0000 0.0000
0.5000 0.5000 0.1947
0.0000 0.0000 0.4227
0.5000 0.5000 0.6994

***

> Which value of magnetic moment does entry 3 give?

0.00 μB per cell

***

> Look up the magnetic moment of the first one.

0.00 μB per cell